# SrHfMg2Sb

SrHfMg2Sb after structural relaxation (GGA-PBEsol, Alexandria via LeMat-Bulk).

The structure in POSCAR format:
```
SrHfMg2Sb
1.0
-1.388 -4.597 2.362
4.141 0.474 3.356
-3.254 2.840 3.614
Sb Mg Hf Sr
1 2 1 1
direct
0.000 0.000 0.500 Sb
0.000 0.500 0.000 Mg
0.500 0.000 0.000 Mg
0.500 0.500 0.500 Hf
0.000 0.000 0.000 Sr
```

Results
ΔE_f (raw) = 1361 meV/atom
total magnetic moment = 0.00 μB/f.u.
E = -13.5 eV/cell

---

# CaLa2Ag

CaLa2Ag after structural relaxation (GGA-PBEsol, Alexandria via LeMat-Bulk).

The structure in POSCAR format:
```
CaLa2Ag
1.0
3.710 0.000 0.000
1.855 3.213 0.000
1.855 1.071 10.875
Ca Ag La
1 1 2
direct
0.000 0.000 0.000 Ca
0.500 0.500 0.500 Ag
0.237 0.237 0.290 La
0.763 0.763 0.710 La
```

Results
ΔH_f (0 K) = 0.053 eV per atom
total magnetic moment = 0.00 μB/f.u.
E = -15.9 eV/cell

---

# ZrRe3Te

ZrRe3Te after structural relaxation (GGA-PBEsol, Alexandria via LeMat-Bulk).

The structure in POSCAR format:
```
ZrRe3Te
1.0
-3.209 -2.394 2.584
3.196 -0.507 3.499
-1.483 4.089 1.947
Re Te Zr
3 1 1
direct
0.000 0.500 0.000 Re
0.000 0.000 0.500 Re
0.500 0.000 0.000 Re
0.500 0.500 0.500 Te
0.000 0.000 0.000 Zr
```

Results
ΔE_f (raw) = 2614 meV/atom
total magnetic moment = 0.72 μB/f.u.
E = -39.5 eV/cell

---

# LiOs2Au

LiOs2Au after structural relaxation (GGA-PBEsol, Alexandria via LeMat-Bulk).

The structure in POSCAR format:
```
LiOs2Au
1.0
2.735 0.000 0.000
0.000 4.452 0.000
0.000 0.000 4.745
Au Li Os
1 1 2
direct
0.500 0.000 0.500 Au
0.000 0.500 0.500 Li
0.000 0.000 0.000 Os
0.500 0.500 0.000 Os
```

Results
ΔH_f (0 K) = 0.370 eV per atom
total magnetic moment = 0.00 μB/f.u.
E = -28.8 eV/cell

---

# Sb3O8

Sb3O8 after structural relaxation (GGA-PBEsol, Alexandria via LeMat-Bulk).

The structure in POSCAR format:
```
Sb3O8
1.0
8.892 0.000 0.000
0.000 9.466 0.001
0.000 0.070 9.884
Sb O
18 48
direct
0.693 0.750 0.750 Sb
0.307 0.250 0.250 Sb
0.007 0.500 0.252 Sb
0.993 0.500 0.748 Sb
0.007 0.000 0.248 Sb
0.993 0.000 0.752 Sb
0.648 0.492 0.250 Sb
0.352 0.508 0.750 Sb
0.648 0.008 0.250 Sb
0.352 0.992 0.750 Sb
0.151 0.748 0.000 Sb
0.849 0.252 0.000 Sb
0.151 0.752 0.500 Sb
0.849 0.248 0.500 Sb
0.504 0.750 0.019 Sb
0.496 0.250 0.981 Sb
0.504 0.750 0.481 Sb
0.496 0.250 0.519 Sb
0.838 0.617 0.830 O
0.162 0.383 0.170 O
0.838 0.883 0.670 O
0.162 0.117 0.330 O
0.510 0.632 0.837 O
0.490 0.368 0.163 O
0.510 0.868 0.663 O
0.490 0.132 0.337 O
0.659 0.648 0.583 O
0.341 0.352 0.417 O
0.659 0.852 0.917 O
0.341 0.148 0.083 O
0.825 0.593 0.324 O
0.175 0.407 0.676 O
0.825 0.907 0.176 O
0.175 0.093 0.824 O
0.001 0.360 0.405 O
0.999 0.640 0.595 O
0.001 0.140 0.095 O
0.999 0.860 0.905 O
0.003 0.623 0.088 O
0.997 0.377 0.912 O
0.003 0.877 0.412 O
0.997 0.123 0.588 O
0.651 0.617 0.092 O
0.349 0.383 0.908 O
0.651 0.883 0.408 O
0.349 0.117 0.592 O
0.667 0.357 0.410 O
0.333 0.643 0.590 O
0.667 0.143 0.090 O
0.333 0.857 0.910 O
0.325 0.651 0.080 O
0.675 0.349 0.920 O
0.325 0.849 0.420 O
0.675 0.151 0.580 O
0.168 0.615 0.838 O
0.832 0.385 0.162 O
0.168 0.885 0.662 O
0.832 0.115 0.338 O
0.151 0.883 0.150 O
0.849 0.117 0.850 O
0.151 0.617 0.350 O
0.849 0.383 0.650 O
0.498 0.893 0.160 O
0.502 0.107 0.840 O
0.498 0.607 0.340 O
0.502 0.393 0.660 O
```

Results
ΔE_f (raw) = -1131 meV/atom
total magnetic moment = 1.04 μB/f.u.
E = -408.7 eV/cell

---

# KRb2TbCl6

KRb2TbCl6 after structural relaxation (GGA-PBEsol, Alexandria via LeMat-Bulk).

The structure in POSCAR format:
```
KRb2TbCl6
1.0
7.817 0.000 0.000
3.909 6.770 0.000
3.909 2.257 6.383
K Tb Rb Cl
1 1 2 6
direct
0.500 0.500 0.500 K
0.000 0.000 0.000 Tb
0.750 0.750 0.750 Rb
0.250 0.250 0.250 Rb
0.764 0.236 0.236 Cl
0.236 0.764 0.236 Cl
0.236 0.236 0.764 Cl
0.764 0.236 0.764 Cl
0.764 0.764 0.236 Cl
0.236 0.764 0.764 Cl
```

Results
ΔE_f (raw) = -2079 meV/atom
total magnetic moment = 0.00 μB/f.u.
E = -41.0 eV/cell

---

# K2HgMo

K2HgMo after structural relaxation (GGA-PBEsol, Alexandria via LeMat-Bulk).

The structure in POSCAR format:
```
K2HgMo
1.0
-0.697 0.890 -3.435
-5.186 0.120 1.083
0.440 5.931 1.448
Hg K Mo
1 2 1
direct
0.500 0.500 0.500 Hg
0.000 0.000 0.747 K
0.000 0.000 0.253 K
0.500 0.500 0.000 Mo
```

Results
ΔH_f (0 K) = 1.131 eV per atom
total magnetic moment = 3.87 μB/f.u.
E = -10.1 eV/cell

---

# CsAgAs2Br

CsAgAs2Br after structural relaxation (GGA-PBEsol, Alexandria via LeMat-Bulk).

The structure in POSCAR format:
```
CsAgAs2Br
1.0
6.934 0.000 0.000
0.000 6.934 0.000
0.000 0.000 6.422
Cs As Br Ag
1 2 1 1
direct
0.000 0.000 0.000 Cs
0.000 0.500 0.000 As
0.500 0.000 0.000 As
0.000 0.000 0.500 Br
0.500 0.500 0.500 Ag
```

Results
ΔE_f (raw) = 1357 meV/atom
total magnetic moment = 5.01 μB/f.u.
E = -9.6 eV/cell

---

# CaTiSbP3O12

CaTiSbP3O12 after structural relaxation (GGA-PBEsol, Alexandria via LeMat-Bulk).

The structure in POSCAR format:
```
CaTiSbP3O12
1.0
8.808 0.000 0.000
4.404 7.628 0.000
4.404 2.543 7.287
Ca Ti Sb P O
2 2 2 6 24
direct
0.006 0.006 0.983 Ca
0.506 0.506 0.483 Ca
0.856 0.856 0.432 Ti
0.356 0.356 0.932 Ti
0.646 0.646 0.061 Sb
0.146 0.146 0.561 Sb
0.539 0.216 0.252 P
0.216 0.993 0.252 P
0.993 0.539 0.252 P
0.039 0.493 0.752 P
0.716 0.039 0.752 P
0.493 0.716 0.752 P
0.587 0.599 0.902 O
0.912 0.587 0.902 O
0.740 0.076 0.234 O
0.599 0.912 0.902 O
0.412 0.099 0.402 O
0.507 0.374 0.301 O
0.076 0.950 0.234 O
0.374 0.818 0.301 O
0.005 0.645 0.569 O
0.818 0.507 0.301 O
0.007 0.318 0.801 O
0.781 0.005 0.569 O
0.099 0.087 0.402 O
0.950 0.740 0.234 O
0.240 0.450 0.734 O
0.087 0.412 0.402 O
0.576 0.240 0.734 O
0.874 0.007 0.801 O
0.450 0.576 0.734 O
0.645 0.781 0.569 O
0.281 0.145 0.069 O
0.318 0.874 0.801 O
0.145 0.505 0.069 O
0.505 0.281 0.069 O
```

Results
ΔE_f (raw) = -2392 meV/atom
total magnetic moment = 0.00 μB/f.u.
E = -276.9 eV/cell

---

# HoSbPd2

HoSbPd2 after structural relaxation (GGA-PBEsol, Alexandria via LeMat-Bulk).

The structure in POSCAR format:
```
HoSbPd2
1.0
4.724 0.000 0.000
2.362 4.091 0.000
2.362 1.364 3.858
Sb Ho Pd
1 1 2
direct
0.000 0.000 0.000 Sb
0.500 0.500 0.500 Ho
0.250 0.250 0.250 Pd
0.750 0.750 0.750 Pd
```

Results
ΔE_f (raw) = -884 meV/atom
total magnetic moment = 0.00 μB/f.u.
E = -25.0 eV/cell

---

# CaSi2Tc

CaSi2Tc after structural relaxation (GGA-PBEsol, Alexandria via LeMat-Bulk).

The structure in POSCAR format:
```
CaSi2Tc
1.0
3.954 0.000 0.000
0.000 3.954 0.000
0.000 0.000 4.036
Ca Si Tc
1 2 1
direct
0.000 0.000 0.500 Ca
0.000 0.500 0.000 Si
0.500 0.000 0.000 Si
0.500 0.500 0.500 Tc
```

Results
ΔE_f (raw) = 181 meV/atom
total magnetic moment = 0.00 μB/f.u.
E = -24.2 eV/cell

---

# ScZnAg2

ScZnAg2 after structural relaxation (GGA-PBEsol, Alexandria via LeMat-Bulk).

The structure in POSCAR format:
```
ScZnAg2
1.0
-0.474 -2.853 -0.156
1.820 0.341 -4.703
3.734 0.434 4.075
Ag Sc Zn
2 1 1
direct
0.500 0.500 0.500 Ag
0.000 0.000 0.500 Ag
0.000 0.500 0.000 Sc
0.500 0.000 0.000 Zn
```

Results
ΔH_f (0 K) = -0.033 eV per atom
total magnetic moment = 0.00 μB/f.u.
E = -14.9 eV/cell